Entry 1:
VASP calculation (GGA-PBE) on a relaxed Gd3Bi7 crystal.

- DFT total energy (eV per atom) = -4.673
- crystal system = orthorhombic
- SG = Cmmm, No. 65
- spin magnetization (μB/cell) = 0.01

POSCAR file:
```
Gd3Bi7
1.0
2.3595 -13.3722 0.0000
2.3595 13.3722 0.0000
0.0000 0.0000 4.7490
Gd Bi
3 7
Cartesian
0.0000 0.0000 0.0000
2.3595 8.3384 0.0000
2.3595 -8.3384 0.0000
2.3595 10.7486 2.3745
2.3595 5.4764 2.3745
2.3595 2.5883 0.0000
2.3595 0.0000 2.3745
2.3595 -2.5883 0.0000
2.3595 -5.4764 2.3745
2.3595 -10.7486 2.3745
```

=====

Entry 2:
VASP calculation (GGA-PBE) on a relaxed GdBi2 crystal.

- DFT total energy (eV per atom) = -4.549
- crystal system = hexagonal
- SG = P6/mmm, No. 191
- spin magnetization (μB/cell) = 0.02

POSCAR file:
```
GdBi2
1.0
5.6079 0.0000 0.0000
-2.8039 4.8566 0.0000
0.0000 0.0000 3.3282
Gd Bi
1 2
Cartesian
0.0000 0.0000 0.0000
0.0000 3.2377 1.6641
2.8039 1.6189 1.6641
```

=====

Entry 3:
VASP calculation (GGA-PBE) on a relaxed GdBi2 crystal.

- DFT total energy (eV per atom) = -4.511
- crystal system = orthorhombic
- SG = Pnnm, No. 58
- spin magnetization (μB/cell) = 0.32

POSCAR file:
```
GdBi2
1.0
7.0007 0.0000 0.0000
0.0000 8.2766 0.0000
0.0000 0.0000 3.5880
Gd Bi
2 4
Cartesian
0.0000 0.0000 0.0000
3.5004 4.1383 1.7940
1.0270 3.0149 0.0000
2.4733 7.1533 1.7940
4.5274 1.1234 1.7940
5.9737 5.2617 0.0000
```

=====

Entry 4:
VASP calculation (GGA-PBE) on a relaxed GdBi2 crystal.

- DFT total energy (eV per atom) = -3.562
- crystal system = cubic
- SG = Fd-3m, No. 227
- spin magnetization (μB/cell) = 0.02

POSCAR file:
```
GdBi2
1.0
0.0000 6.8914 6.8914
6.8914 0.0000 6.8914
6.8914 6.8914 0.0000
Gd Bi
2 4
Cartesian
1.7228 1.7228 1.7228
12.0599 12.0599 12.0599
0.0000 0.0000 0.0000
3.4457 3.4457 0.0000
3.4457 0.0000 3.4457
0.0000 3.4457 3.4457
```

=====

Entry 5:
VASP calculation (GGA-PBE) on a relaxed Gd2Bi crystal.

- DFT total energy (eV per atom) = -4.535
- crystal system = cubic
- SG = Fd-3m, No. 227
- spin magnetization (μB/cell) = 0.02

POSCAR file:
```
Gd2Bi
1.0
0.0000 4.4959 4.4959
4.4959 0.0000 4.4959
4.4959 4.4959 0.0000
Gd Bi
4 2
Cartesian
0.0000 0.0000 0.0000
2.2480 2.2480 0.0000
2.2480 0.0000 2.2480
0.0000 2.2480 2.2480
3.3719 3.3719 3.3719
5.6199 5.6199 5.6199
```

=====

Entry 6:
VASP calculation (GGA-PBE) on a relaxed GdBi3 crystal.

- DFT total energy (eV per atom) = -4.524
- crystal system = orthorhombic
- SG = Cmcm, No. 63
- spin magnetization (μB/cell) = 0.02

POSCAR file:
```
GdBi3
1.0
2.1840 -6.1045 0.0000
2.1840 6.1045 0.0000
0.0000 0.0000 9.4558
Gd Bi
2 6
Cartesian
2.1840 3.7472 7.0918
2.1840 -3.7472 2.3639
2.1840 4.9216 2.3639
2.1840 1.5502 0.0680
2.1840 1.5502 4.6599
2.1840 -1.5502 4.7959
2.1840 -1.5502 9.3878
2.1840 -4.9216 7.0918
```

=====

Entry 7:
VASP calculation (GGA-PBE) on a relaxed GdGeBi crystal.

- DFT total energy (eV per atom) = -4.458
- crystal system = cubic
- SG = F-43m, No. 216
- spin magnetization (μB/cell) = 0.01

POSCAR file:
```
GdGeBi
1.0
0.0000 3.6304 3.6304
3.6304 0.0000 3.6304
3.6304 3.6304 0.0000
Gd Ge Bi
1 1 1
Cartesian
0.0000 0.0000 0.0000
3.6304 3.6304 3.6304
1.8152 1.8152 1.8152
```

=====

Entry 8:
VASP calculation (GGA-PBE) on a relaxed GdGeBi crystal.

- DFT total energy (eV per atom) = -4.560
- crystal system = cubic
- SG = F-43m, No. 216
- spin magnetization (μB/cell) = 0.00

POSCAR file:
```
GdGeBi
1.0
0.0000 3.6079 3.6079
3.6079 0.0000 3.6079
3.6079 3.6079 0.0000
Gd Ge Bi
1 1 1
Cartesian
0.0000 0.0000 0.0000
1.8039 1.8039 1.8039
5.4118 5.4118 5.4118
```

=====

Entry 9:
VASP calculation (GGA-PBE) on a relaxed GdHoBi crystal.

- DFT total energy (eV per atom) = -4.731
- crystal system = cubic
- SG = F-43m, No. 216
- spin magnetization (μB/cell) = 0.08

POSCAR file:
```
GdHoBi
1.0
0.0000 3.6593 3.6593
3.6593 0.0000 3.6593
3.6593 3.6593 0.0000
Gd Ho Bi
1 1 1
Cartesian
0.0000 0.0000 0.0000
3.6593 3.6593 3.6593
1.8296 1.8296 1.8296
```

=====

Entry 10:
VASP calculation (GGA-PBE) on a relaxed GdHoBiI2 crystal.

- DFT total energy (eV per atom) = -4.403
- crystal system = trigonal
- SG = P3m1, No. 156
- spin magnetization (μB/cell) = 0.01

POSCAR file:
```
GdHoBiI2
1.0
4.3896 0.0000 0.0000
-2.1948 3.8015 0.0000
0.0000 0.0000 11.2880
Gd Ho Bi I
1 1 1 2
Cartesian
0.0000 0.0000 0.0000
0.0000 2.5344 3.4851
2.1948 1.2672 1.7786
0.0000 0.0000 5.3800
0.0000 2.5344 9.3542
```

=====

Entry 11:
VASP calculation (GGA-PBE) on a relaxed GdHoBiO2 crystal.

- DFT total energy (eV per atom) = -7.333
- crystal system = tetragonal
- SG = I4mm, No. 107
- spin magnetization (μB/cell) = 0.00

POSCAR file:
```
GdHoBiO2
1.0
-1.9389 1.9389 6.7324
1.9389 -1.9389 6.7324
1.9389 1.9389 -6.7324
Gd Ho Bi O
1 1 1 2
Cartesian
0.0000 0.0000 0.0000
0.0000 0.0000 4.4987
0.0000 0.0000 8.9757
1.9389 0.0000 5.5762
0.0000 1.9389 5.5762
```

=====

Entry 12:
VASP calculation (GGA-PBE) on a relaxed LaGdBiI2 crystal.

- DFT total energy (eV per atom) = -4.579
- crystal system = trigonal
- SG = P3m1, No. 156
- spin magnetization (μB/cell) = 0.00

POSCAR file:
```
LaGdBiI2
1.0
4.5102 0.0000 0.0000
-2.2551 3.9059 0.0000
0.0000 0.0000 11.5976
La Gd Bi I
1 1 1 2
Cartesian
0.0000 0.0000 0.0000
2.2551 1.3020 7.9829
0.0000 2.6039 9.6895
0.0000 0.0000 6.0916
2.2551 1.3020 2.0303
```

=====

Entry 13:
VASP calculation (GGA-PBE) on a relaxed Gd2BiIO4 crystal.

- DFT total energy (eV per atom) = -6.693
- crystal system = tetragonal
- SG = P4/mmm, No. 123
- spin magnetization (μB/cell) = 0.01

POSCAR file:
```
Gd2BiIO4
1.0
4.0169 0.0000 0.0000
0.0000 4.0169 0.0000
0.0000 0.0000 9.3466
Gd Bi I O
2 1 1 4
Cartesian
0.0000 0.0000 2.2917
0.0000 0.0000 7.0548
2.0084 2.0084 4.6733
2.0084 2.0084 0.0000
0.0000 2.0084 3.2011
0.0000 2.0084 6.1455
2.0084 0.0000 3.2011
2.0084 0.0000 6.1455
```

=====

Entry 14:
VASP calculation (GGA-PBE) on a relaxed GdYBiI2 crystal.

- DFT total energy (eV per atom) = -4.806
- crystal system = trigonal
- SG = P3m1, No. 156
- spin magnetization (μB/cell) = 0.00

POSCAR file:
```
GdYBiI2
1.0
4.4015 0.0000 0.0000
-2.2007 3.8118 0.0000
0.0000 0.0000 11.3301
Gd Y Bi I
1 1 1 2
Cartesian
0.0000 0.0000 0.0000
0.0000 2.5412 3.4981
2.2007 1.2706 1.7659
0.0000 0.0000 5.4067
0.0000 2.5412 9.4039
```

=====

Entry 15:
VASP calculation (GGA-PBE) on a relaxed La2GdBi3 crystal.

- DFT total energy (eV per atom) = -5.454
- crystal system = trigonal
- SG = P-3m1, No. 164
- spin magnetization (μB/cell) = 0.00

POSCAR file:
```
La2GdBi3
1.0
4.6123 0.0000 0.0000
-2.3061 3.9944 0.0000
0.0000 0.0000 11.3288
La Gd Bi
2 1 3
Cartesian
0.0000 2.6629 3.7208
2.3061 1.3315 7.6080
0.0000 0.0000 0.0000
0.0000 0.0000 5.6644
0.0000 2.6629 9.5433
2.3061 1.3315 1.7854
```

=====

Entry 16:
VASP calculation (GGA-PBE) on a relaxed LaGd2Bi3 crystal.

- DFT total energy (eV per atom) = -5.357
- crystal system = trigonal
- SG = P-3m1, No. 164
- spin magnetization (μB/cell) = 0.00

POSCAR file:
```
LaGd2Bi3
1.0
4.5413 0.0000 0.0000
-2.2707 3.9329 0.0000
0.0000 0.0000 11.1545
La Gd Bi
1 2 3
Cartesian
0.0000 0.0000 0.0000
0.0000 2.6219 3.7740
2.2707 1.3110 7.3806
0.0000 0.0000 5.5773
0.0000 2.6219 9.1922
2.2707 1.3110 1.9623
```

=====

Entry 17:
VASP calculation (GGA-PBE) on a relaxed LaGdBiO2 crystal.

- DFT total energy (eV per atom) = -7.386
- crystal system = tetragonal
- SG = I4mm, No. 107
- spin magnetization (μB/cell) = 0.00

POSCAR file:
```
LaGdBiO2
1.0
-1.9858 1.9858 6.9098
1.9858 -1.9858 6.9098
1.9858 1.9858 -6.9098
La Gd Bi O
1 1 1 2
Cartesian
0.0000 0.0000 0.0000
0.0000 0.0000 9.2613
0.0000 0.0000 4.5771
1.9858 0.0000 1.2567
0.0000 1.9858 1.2567
```

=====

Entry 18:
VASP calculation (GGA-PBE) on a relaxed Gd3BiN2 crystal.

- DFT total energy (eV per atom) = -7.070
- crystal system = trigonal
- SG = P-3m1, No. 164
- spin magnetization (μB/cell) = 0.00

POSCAR file:
```
Gd3BiN2
1.0
3.5852 0.0000 0.0000
-1.7926 3.1049 0.0000
0.0000 0.0000 10.6144
Gd Bi N
3 1 2
Cartesian
0.0000 0.0000 0.0000
0.0000 2.0699 2.6963
1.7926 1.0350 7.9182
0.0000 0.0000 5.3072
0.0000 2.0699 9.1194
1.7926 1.0350 1.4950
```

=====

Entry 19:
VASP calculation (GGA-PBE) on a relaxed NaGdBi2 crystal.

- DFT total energy (eV per atom) = -4.042
- crystal system = tetragonal
- SG = P4/nmm, No. 129
- spin magnetization (μB/cell) = 0.01

POSCAR file:
```
NaGdBi2
1.0
4.5161 0.0000 0.0000
0.0000 4.5161 0.0000
0.0000 0.0000 11.5575
Na Gd Bi
2 2 4
Cartesian
1.1290 3.3871 0.0000
3.3871 1.1290 0.0000
1.1290 1.1290 3.2694
3.3871 3.3871 8.2881
1.1290 1.1290 9.2385
1.1290 3.3871 5.7787
3.3871 1.1290 5.7787
3.3871 3.3871 2.3190
```

=====

Entry 20:
VASP calculation (GGA-PBE) on a relaxed NaGd3Bi crystal.

- DFT total energy (eV per atom) = -3.297
- crystal system = trigonal
- SG = R-3c, No. 167
- spin magnetization (μB/cell) = 0.00

POSCAR file:
```
NaGd3Bi
1.0
3.6994 2.1358 6.9623
-3.6994 2.1358 6.9623
0.0000 -4.2717 6.9623
Na Gd Bi
2 6 2
Cartesian
0.0000 0.0000 0.0000
0.0000 0.0000 10.4434
-1.8637 1.0437 8.7028
-1.8357 -1.0922 12.1839
0.0280 -2.1358 8.7028
-0.0280 2.1358 12.1839
1.8357 1.0922 8.7028
1.8637 -1.0437 12.1839
0.0000 0.0000 5.2217
0.0000 0.0000 15.6651
```